(1)
Material: Ga2Bi2Sb
Method: DFT, PBE-GGA
State: relaxed

a b c (Å): 3.949 3.949 9.058
angles (deg): 77.41 77.41 90.00
Positions (direct):
Sb: 0.000 0.000 0.000
Bi: 0.607 0.607 0.787
Bi: 0.393 0.393 0.213
Ga: 0.750 0.250 0.500
Ga: 0.250 0.750 0.500

Values from the calculation:
Symmetry: I4/mmm
E above lowest polymorph (eV per atom): 0.008
Raw total energy (eV per atom): -3.4608
DOS at the Fermi energy (states/eV/atom): 0.53

(2)
Material: ScPPb
Method: DFT, PBE-GGA
State: relaxed

a b c (Å): 4.698 4.698 4.698
angles (deg): 60.00 60.00 60.00
Positions (direct):
Pb: 0.000 0.000 0.000
P: 0.250 0.250 0.250
Sc: 0.500 0.500 0.500

Values from the calculation:
Formation enthalpy at 0 K (eV/atom): -0.218
Symmetry: F-43m
E above lowest polymorph (eV per atom): 0.431
Raw total energy (eV per atom): -5.3680
DOS at the Fermi energy (states/eV/atom): 0.69

(3)
Material: Pr2SmLu
Method: DFT, PBE-GGA
State: relaxed

a b c (Å): 3.643 3.643 10.179
angles (deg): 90.00 90.00 90.00
Positions (direct):
Pr: 0.000 0.000 0.244
Pr: 0.000 0.000 0.756
Lu: 0.500 0.500 0.000
Sm: 0.500 0.500 0.500

Values from the calculation:
Formation enthalpy at 0 K (eV/atom): 0.023
Symmetry: P4/mmm
E above lowest polymorph (eV per atom): 0.008
Raw total energy (eV per atom): -4.6763
DOS at the Fermi energy (states/eV/atom): 1.48

(4)
Material: NaCoS
Method: DFT, PBE-GGA
State: relaxed

a b c (Å): 4.467 3.717 3.717
angles (deg): 120.00 90.00 90.00
Last column: magnetic moment on the atom in μB.
Positions (direct):
S: 0.167 0.000 0.000  0.07
Na: 0.667 0.667 0.333  -0.01
Co: 0.167 0.333 0.667  1.01

Values from the calculation:
Symmetry: P-6m2
E above lowest polymorph (eV per atom): 0.067
Raw total energy (eV per atom): -4.6027
DOS at the Fermi energy (states/eV/atom): 0.86

(5)
Material: BaHgP
Method: DFT, PBE-GGA
State: relaxed

a b c (Å): 5.186 5.186 5.186
angles (deg): 60.00 60.00 60.00
Positions (direct):
P: 0.000 0.000 0.000
Ba: 0.500 0.500 0.500
Hg: 0.250 0.250 0.250

Values from the calculation:
Formation enthalpy at 0 K (eV/atom): -0.266
Symmetry: F-43m
E above lowest polymorph (eV per atom): 0.265
Raw total energy (eV per atom): -2.8105
DOS at the Fermi energy (states/eV/atom): 0.91

(6)
Material: Cs2NdIO6
Method: DFT, PBE-GGA
State: relaxed

a b c (Å): 6.091 6.860 6.860
angles (deg): 120.00 90.00 90.00
Positions (direct):
O: 0.808 0.742 0.871
O: 0.192 0.258 0.129
O: 0.808 0.129 0.871
O: 0.192 0.871 0.742
O: 0.192 0.871 0.129
O: 0.808 0.129 0.258
Cs: 0.116 0.333 0.667
Cs: 0.884 0.667 0.333
I: 0.000 0.000 0.000
Nd: 0.500 0.000 0.000

Values from the calculation:
Symmetry: P-3m1
Raw total energy (eV per atom): -5.2737
DOS at the Fermi energy (states/eV/atom): 0.00

(7)
Material: YSnAu
Method: DFT, PBE-GGA
State: relaxed

a b c (Å): 5.184 5.184 6.159
angles (deg): 90.00 90.00 120.00
Positions (direct):
Sn: 0.333 0.667 0.750
Sn: 0.667 0.333 0.250
Y: 0.333 0.667 0.250
Y: 0.667 0.333 0.750
Au: 0.000 0.000 0.000
Au: 0.000 0.000 0.500

Values from the calculation:
Formation enthalpy at 0 K (eV/atom): -0.480
Symmetry: P6_3/mmc
Raw total energy (eV per atom): -5.0617
DOS at the Fermi energy (states/eV/atom): 0.23

(8)
Material: Pm4AlCu2
Method: DFT, PBE-GGA
State: relaxed

a b c (Å): 5.057 5.057 8.650
angles (deg): 73.00 73.00 60.00
Last column: magnetic moment on the atom in μB.
Positions (direct):
Pm: 0.129 0.129 0.612  0.10
Pm: 0.383 0.383 0.850  0.03
Pm: 0.871 0.871 0.388  0.10
Pm: 0.617 0.617 0.150  0.03
Al: 0.000 0.000 0.000  0.00
Cu: 0.741 0.741 0.776  0.01
Cu: 0.259 0.259 0.224  0.01

Values from the calculation:
Formation enthalpy at 0 K (eV/atom): -0.110
Symmetry: R-3m
Raw total energy (eV per atom): -4.5292
DOS at the Fermi energy (states/eV/atom): 1.27

(9)
Material: PmTcP2Rh
Method: DFT, PBE-GGA
State: relaxed

a b c (Å): 4.086 4.086 5.757
angles (deg): 110.79 110.79 90.00
Positions (direct):
P: 0.372 0.372 0.744
P: 0.628 0.628 0.256
Pm: 0.000 0.000 0.000
Tc: 0.250 0.750 0.500
Rh: 0.750 0.250 0.500

Values from the calculation:
Formation enthalpy at 0 K (eV/atom): -1.023
Symmetry: I-4m2
Raw total energy (eV per atom): -7.6804
DOS at the Fermi energy (states/eV/atom): 0.38